{"formula": "DyY12Tm3", "functional": "PBE", "state": "optimized geometry", "lattice": [[5.026, 0.000, 0.000], [0.000, 5.026, 0.000], [0.000, 0.000, 20.111]], "species": ["Dy", "Y", "Y", "Y", "Y", "Y", "Y", "Y", "Y", "Y", "Y", "Y", "Y", "Tm", "Tm", "Tm"], "fractional_positions": [[0.000, 0.000, 0.000], [0.000, 0.500, 0.126], [0.000, 0.500, 0.375], [0.000, 0.500, 0.625], [0.000, 0.500, 0.874], [0.500, 0.000, 0.126], [0.500, 0.000, 0.375], [0.500, 0.000, 0.625], [0.500, 0.000, 0.874], [0.500, 0.500, 0.000], [0.500, 0.500, 0.250], [0.500, 0.500, 0.500], [0.500, 0.500, 0.750], [0.000, 0.000, 0.250], [0.000, 0.000, 0.500], [0.000, 0.000, 0.750]], "delta_e_f_ev_per_atom": 0.03, "spacegroup": "No. 123"}

{"formula": "DyY2Tm6", "functional": "PBE", "state": "optimized geometry", "lattice": [[10.535, 0.000, 0.000], [0.000, 10.535, 0.000], [0.000, 0.000, 4.973]], "species": ["Dy", "Dy", "Y", "Y", "Y", "Y", "Tm", "Tm", "Tm", "Tm", "Tm", "Tm", "Tm", "Tm", "Tm", "Tm", "Tm", "Tm"], "fractional_positions": [[0.000, 0.000, 0.000], [0.500, 0.500, 0.500], [0.167, 0.167, 0.500], [0.333, 0.667, 0.000], [0.667, 0.333, 0.000], [0.833, 0.833, 0.500], [0.000, 0.334, 0.000], [0.000, 0.666, 0.000], [0.166, 0.500, 0.500], [0.167, 0.833, 0.500], [0.333, 0.333, 0.000], [0.334, 0.000, 0.000], [0.500, 0.166, 0.500], [0.500, 0.834, 0.500], [0.666, 0.000, 0.000], [0.667, 0.667, 0.000], [0.833, 0.167, 0.500], [0.834, 0.500, 0.500]], "delta_e_f_ev_per_atom": 0.03, "spacegroup": "No. 136"}

Number 1: total magnetization 0.000 μB per cell, density of states at the Fermi level 22.6 states/eV/cell. Number 2: total magnetization 0.000 μB per cell, density of states at the Fermi level 23.6 states/eV/cell.